No. 1
Material: Ba3MnSb2O9
Method: DFT, meta-GGA SCAN
State: single point on PBEsol structure

**Space-group type**: C2/c, No. 15

POSCAR file:
```
Ba3MnSb2O9
1.0
-1.245 -0.785 -5.694
-4.198 -0.729 4.054
-3.426 14.125 -1.120
O Sb Ba Mn
18 4 6 2
direct
0.184 0.848 0.584
0.965 0.483 0.255
0.647 0.816 0.922
0.184 0.353 0.578
0.816 0.647 0.422
0.680 0.848 0.590
0.353 0.184 0.078
0.152 0.320 0.910
0.320 0.152 0.410
0.816 0.152 0.416
0.035 0.517 0.745
0.483 0.965 0.755
0.517 0.483 0.250
0.848 0.184 0.084
0.152 0.816 0.916
0.483 0.517 0.750
0.517 0.035 0.245
0.848 0.680 0.090
0.674 0.341 0.152
0.326 0.659 0.848
0.659 0.326 0.348
0.341 0.674 0.652
0.999 0.001 0.250
0.328 0.662 0.412
0.662 0.328 0.912
0.001 0.999 0.750
0.338 0.672 0.088
0.672 0.338 0.588
0.000 0.000 0.000
0.000 0.000 0.500
```

No. 2
Material: Ba2Mn3Se6O18
Method: DFT, meta-GGA SCAN
State: single point on PBEsol structure

**Space-group type**: P2_1/c, No. 14
**DOS(E_F)**: 0.95 states/eV per cell

POSCAR file:
```
Ba2Mn3Se6O18
1.0
-1.510 -0.868 -5.174
5.444 -7.239 -0.374
-12.716 -9.918 6.875
O Se Ba Mn
36 12 4 6
direct
0.281 0.037 0.081
0.291 0.439 0.933
0.559 0.671 0.283
0.720 0.931 0.259
0.559 0.829 0.783
0.281 0.463 0.581
0.895 0.681 0.923
0.260 0.899 0.253
0.280 0.069 0.741
0.280 0.431 0.241
0.392 0.184 0.880
0.608 0.816 0.120
0.740 0.399 0.247
0.105 0.319 0.077
0.291 0.061 0.433
0.148 0.888 0.856
0.719 0.537 0.419
0.852 0.112 0.144
0.767 0.367 0.925
0.105 0.181 0.577
0.441 0.171 0.217
0.740 0.101 0.747
0.441 0.329 0.717
0.719 0.963 0.919
0.608 0.684 0.620
0.260 0.601 0.753
0.148 0.612 0.356
0.233 0.867 0.575
0.720 0.569 0.759
0.852 0.388 0.644
0.895 0.819 0.423
0.709 0.939 0.567
0.767 0.133 0.425
0.233 0.633 0.075
0.709 0.561 0.067
0.392 0.316 0.380
0.010 0.140 0.065
0.495 0.149 0.685
0.495 0.351 0.185
0.499 0.200 0.456
0.990 0.860 0.935
0.501 0.700 0.044
0.505 0.649 0.815
0.501 0.800 0.544
0.505 0.851 0.315
0.010 0.360 0.565
0.990 0.640 0.435
0.499 0.300 0.956
0.981 0.664 0.205
0.019 0.336 0.795
0.981 0.836 0.705
0.019 0.164 0.295
0.000 0.000 0.500
0.484 0.003 0.837
0.484 0.497 0.337
0.000 0.500 0.000
0.516 0.997 0.163
0.516 0.503 0.663
```

No. 3
Material: BaSrMn2O6
Method: DFT, meta-GGA SCAN
State: single point on PBEsol structure

**Space-group type**: P6_3/mmc, No. 194

POSCAR file:
```
BaSrMn2O6
1.0
-3.468 -2.641 3.424
-0.158 -1.034 -5.443
6.110 -6.623 1.081
O Ba Sr Mn
12 2 2 4
direct
0.000 0.500 0.500
0.000 0.500 0.000
0.185 0.369 0.250
0.500 0.000 0.000
0.815 0.185 0.750
0.500 0.500 0.000
0.500 0.000 0.500
0.185 0.815 0.250
0.500 0.500 0.500
0.631 0.815 0.250
0.369 0.185 0.750
0.815 0.631 0.750
0.000 0.000 0.000
0.000 0.000 0.500
0.667 0.333 0.250
0.333 0.667 0.750
0.667 0.333 0.613
0.667 0.333 0.887
0.333 0.667 0.113
0.333 0.667 0.387
```

No. 4
Material: BaSr7Ti6Mn2O24
Method: DFT, meta-GGA SCAN
State: single point on PBEsol structure

**Space-group type**: Amm2, No. 38

POSCAR file:
```
BaSr7Ti6Mn2O24
1.0
7.763 0.000 0.004
0.000 7.770 0.000
0.001 0.000 7.763
O Ti Ba Mn Sr
24 6 1 2 7
direct
0.499 0.500 0.499
0.004 0.000 0.501
0.004 0.245 0.758
0.499 0.000 0.499
0.247 0.250 0.002
0.008 0.000 0.008
0.752 0.246 0.498
0.500 0.250 0.250
0.247 0.750 0.002
0.250 0.750 0.500
0.498 0.246 0.752
0.498 0.754 0.752
0.004 0.755 0.758
0.004 0.500 0.499
0.008 0.500 0.008
0.002 0.750 0.247
0.250 0.250 0.500
0.752 0.754 0.498
0.758 0.755 0.004
0.758 0.245 0.004
0.500 0.750 0.250
0.501 0.000 0.004
0.002 0.250 0.247
0.499 0.500 0.004
0.497 0.249 0.497
0.492 0.751 0.999
0.999 0.751 0.492
0.492 0.249 0.999
0.999 0.249 0.492
0.497 0.751 0.497
0.752 0.500 0.752
0.998 0.248 0.998
0.998 0.752 0.998
0.247 0.000 0.247
0.752 0.000 0.752
0.750 0.000 0.244
0.750 0.500 0.244
0.244 0.000 0.750
0.244 0.500 0.750
0.246 0.500 0.246
```

No. 5
Material: Ba2Sr6Ti7MnO24
Method: DFT, meta-GGA SCAN
State: single point on PBEsol structure

**Space-group type**: Cmm2, No. 35
**DOS(E_F)**: 0.00 states/eV per cell

POSCAR file:
```
Ba2Sr6Ti7MnO24
1.0
7.821 0.000 0.000
0.000 7.810 0.001
0.000 -0.004 7.810
O Ti Sr Mn Ba
24 7 6 1 2
direct
0.994 0.002 0.755
0.502 0.502 0.250
0.247 0.500 0.000
0.748 0.500 0.500
0.993 0.249 0.502
0.503 0.002 0.751
0.503 0.249 0.998
0.241 0.000 0.000
0.749 0.500 0.000
0.993 0.498 0.751
0.994 0.245 0.998
0.749 0.000 0.500
0.502 0.250 0.502
0.993 0.751 0.498
0.503 0.998 0.249
0.994 0.998 0.245
0.247 0.000 0.500
0.247 0.500 0.500
0.993 0.502 0.249
0.502 0.498 0.750
0.753 0.000 0.000
0.503 0.751 0.002
0.502 0.750 0.498
0.994 0.755 0.002
0.002 0.500 0.500
0.505 0.500 0.000
0.506 0.500 0.500
0.510 0.000 0.000
0.505 0.000 0.500
0.000 0.500 0.000
0.000 0.000 0.500
0.251 0.753 0.247
0.754 0.249 0.751
0.754 0.751 0.751
0.251 0.247 0.753
0.754 0.249 0.249
0.754 0.751 0.249
0.001 0.000 0.000
0.250 0.752 0.752
0.250 0.248 0.248
```

No. 6
Material: BaSr7Ti5Mn3O24
Method: DFT, meta-GGA SCAN
State: single point on PBEsol structure

**Space-group type**: Cm, No. 8

POSCAR file:
```
BaSr7Ti5Mn3O24
1.0
-5.956 0.253 4.903
4.305 -3.490 5.420
2.396 6.911 2.565
Mn O Ba Sr Ti
3 24 1 7 5
direct
0.001 0.002 0.507
0.002 0.004 0.004
0.001 0.507 0.002
0.502 0.249 0.996
0.752 0.499 0.499
0.243 0.996 0.502
0.754 0.997 0.997
0.502 0.502 0.249
0.754 0.501 0.999
0.249 0.503 0.503
0.498 0.998 0.750
0.241 0.997 0.997
0.997 0.503 0.243
0.501 0.750 0.500
0.243 0.502 0.996
0.502 0.249 0.502
0.998 0.499 0.753
0.992 0.244 0.992
0.501 0.500 0.750
0.997 0.992 0.746
0.498 0.750 0.998
0.754 0.999 0.501
0.998 0.753 0.499
0.502 0.996 0.249
0.997 0.746 0.992
0.997 0.243 0.503
0.992 0.992 0.244
0.247 0.250 0.250
0.755 0.752 0.250
0.247 0.753 0.249
0.755 0.753 0.753
0.247 0.754 0.754
0.756 0.251 0.251
0.755 0.250 0.752
0.247 0.249 0.753
0.505 0.503 0.000
0.507 0.000 0.000
0.505 0.000 0.503
0.502 0.503 0.503
0.000 0.506 0.506
```

No. 7
Material: Ba3Sr5Ti7MnO24
Method: DFT, meta-GGA SCAN
State: single point on PBEsol structure

**Space-group type**: Cm, No. 8
**DOS(E_F)**: 0.00 states/eV per cell

POSCAR file:
```
Ba3Sr5Ti7MnO24
1.0
7.859 0.004 0.004
0.003 7.833 0.002
0.003 0.003 7.833
O Ti Sr Mn Ba
24 7 5 1 3
direct
0.990 0.248 0.500
0.246 0.503 0.995
0.246 0.995 0.503
0.238 0.995 0.995
0.753 0.997 0.997
0.992 0.753 0.996
0.245 0.502 0.502
0.502 0.502 0.749
0.506 0.248 0.998
0.503 0.750 0.995
0.748 0.499 0.499
0.503 0.995 0.750
0.502 0.749 0.502
0.991 0.501 0.749
0.990 0.500 0.248
0.748 0.997 0.500
0.506 0.998 0.248
0.991 0.749 0.501
0.748 0.500 0.997
0.992 0.996 0.753
0.990 0.998 0.243
0.504 0.500 0.248
0.504 0.248 0.500
0.990 0.243 0.998
0.001 0.507 0.001
0.002 0.503 0.503
0.509 0.504 0.504
0.001 0.001 0.507
0.509 0.002 0.503
0.509 0.503 0.002
0.515 0.001 0.001
0.755 0.753 0.252
0.755 0.252 0.753
0.254 0.754 0.754
0.754 0.751 0.751
0.756 0.251 0.251
0.001 0.001 0.001
0.249 0.248 0.248
0.251 0.753 0.249
0.251 0.249 0.753
```

No. 8
Material: Ba3Ta2MnO9
Method: DFT, meta-GGA SCAN
State: single point on PBEsol structure

**Space-group type**: P-3m1, No. 164
**DOS(E_F)**: 2.79 states/eV per cell

POSCAR file:
```
Ba3Ta2MnO9
1.0
5.678 0.000 0.000
-2.839 4.917 0.000
0.000 0.000 6.971
Mn O Ba Ta
1 9 3 2
direct
0.000 0.000 0.500
0.834 0.668 0.666
0.500 0.000 0.000
0.834 0.166 0.666
0.668 0.834 0.334
0.166 0.332 0.334
0.166 0.834 0.334
0.500 0.500 0.000
0.000 0.500 0.000
0.332 0.166 0.666
0.667 0.333 0.337
0.000 0.000 0.000
0.333 0.667 0.663
0.667 0.333 0.820
0.333 0.667 0.180
```

No. 9
Material: Ba2MnTeO6
Method: DFT, meta-GGA SCAN
State: single point on PBEsol structure

**Space-group type**: Fm-3m, No. 225
**DOS(E_F)**: 0.44 states/eV per cell

POSCAR file:
```
Ba2MnTeO6
1.0
5.792 0.000 0.000
2.896 5.016 0.000
2.896 1.672 4.729
O Ba Te Mn
6 2 1 1
direct
0.260 0.260 0.740
0.260 0.740 0.260
0.740 0.260 0.260
0.260 0.740 0.740
0.740 0.740 0.260
0.740 0.260 0.740
0.750 0.750 0.750
0.250 0.250 0.250
0.500 0.500 0.500
0.000 0.000 0.000
```

No. 10
Material: Ba2TiMnO6
Method: DFT, meta-GGA SCAN
State: single point on PBEsol structure

**Space-group type**: R-3m, No. 166
**DOS(E_F)**: 0.00 states/eV per cell

POSCAR file:
```
Ba2TiMnO6
1.0
5.666 0.000 0.000
2.833 4.907 0.000
2.833 1.636 9.227
Ba O Mn Ti
4 12 2 2
direct
0.870 0.870 0.389
0.285 0.285 0.145
0.715 0.715 0.855
0.130 0.130 0.611
0.799 0.286 0.117
0.286 0.799 0.117
0.393 0.842 0.371
0.607 0.607 0.629
0.714 0.201 0.883
0.201 0.714 0.883
0.842 0.393 0.371
0.158 0.607 0.629
0.799 0.799 0.117
0.607 0.158 0.629
0.201 0.201 0.883
0.393 0.393 0.371
0.000 0.000 0.000
0.500 0.500 0.500
0.593 0.593 0.222
0.407 0.407 0.778
```

E, record by record: -0.7432; -0.5244; -0.5972; -0.5587; -0.5757; -0.5571; -0.5912; -0.9099; -0.7177; -0.6650 Ha/atom